Compound: HoTm3Th7
Source: Alexandria
Functional: PBE
Structure: optimized geometry

Results
ρ in kg/m3: 10362
Raw total energy in eV per atom: -6.00
Energy relative to the elements in eV/f.u.: 3.98
Space group: C2/m, No. 12

Cell and atoms, written as POSCAR:
```
HoTm3Th7
1.0
6.3087 -5.5924 0.0000
6.3087 5.5924 0.0000
-2.6834 0.0000 5.2145
Ho Tm Th
1 3 7
Cartesian
0.0000 0.0000 0.0000
4.9670 2.2910 2.6072
6.3087 0.0000 0.0000
4.9670 -2.2910 2.6072
-1.3417 0.0000 2.6072
1.6715 2.3037 4.1890
2.8614 0.0000 1.5337
8.2625 2.3037 1.0254
1.6715 -2.3037 4.1890
7.0725 0.0000 3.6808
8.2625 -2.3037 1.0254
```